Ba2BiWO6 | GGA+U | optimized geometry

Properties
Spin magnetization (μB per formula unit): 1.00
Energy relative to the lowest polymorph listed for this composition (meV per atom): 29
E_tot (eV per formula unit): -65.98

Cell and atoms, written as extended XYZ:
```
10
Lattice="0.000 4.341 4.341 4.341 0.000 4.341 4.341 4.341 0.000" Properties=species:S:1:pos:R:3 pbc="T T T"
Ba 2.171 2.171 2.171
Ba 6.512 6.512 6.512
Bi 0.000 0.000 0.000
W 4.341 4.341 4.341
O 4.341 4.341 2.336
O 4.341 2.336 4.341
O 6.346 4.341 4.341
O 2.336 4.341 4.341
O 4.341 6.346 4.341
O 4.341 4.341 6.346
```